Record 1
## AcGeBi4 (PBE)

Data for a geometry-optimized AcGeBi4 structure.

Output
For the total moment, the calculation gives 0.0001 μB per atom. For the total energy, the calculation gives -4.040 eV per atom. The formation energy from the elements comes out at 0.002 eV/atom. As for the density of states at the Fermi level: 6.469 states/eV/cell.

Cell: 6.550 6.550 6.550 Å, 60.00 60.00 60.00°
Sites, in units of the cell vectors:
Bi  0.626  0.123  0.626
Bi  0.626  0.626  0.626
Bi  0.626  0.626  0.123
Bi  0.123  0.626  0.626
Ac  0.250  0.250  0.250
Ge  0.000  0.000  0.000

Record 2
## AcGeBi (PBE)

Data for a geometry-optimized AcGeBi structure.

Output
For the total moment, the calculation gives 0.0000 μB per atom. The value obtained for the excess energy over the best structure of this formula in the dataset is 0 meV per atom. For the total energy, the calculation gives -4.876 eV per atom. The formation energy from the elements comes out at -0.674 eV/atom. As for the density of states at the Fermi level: 1.728 states/eV/cell.

Cell: 4.307 4.702 9.561 Å, 104.23 90.00 90.00°
Sites, in units of the cell vectors:
Bi  0.750  0.253  0.505
Bi  0.250  0.747  0.495
Ac  0.250  0.098  0.196
Ac  0.750  0.902  0.804
Ge  0.250  0.457  0.914
Ge  0.750  0.543  0.086

Record 3
## Ac3GeBi2 (PBE)

Data for a geometry-optimized Ac3GeBi2 structure.

Output
For the total moment, the calculation gives 0.0000 μB per atom. For the total energy, the calculation gives -4.946 eV per atom. The formation energy from the elements comes out at -0.829 eV/atom. As for the density of states at the Fermi level: 9.457 states/eV/cell.

Cell: 6.788 9.474 8.337 Å, 106.46 114.03 90.00°
Sites, in units of the cell vectors:
Ac  0.844  0.422  0.688
Ac  0.500  0.250  0.000
Ac  0.156  0.578  0.312
Ac  0.156  0.078  0.312
Ac  0.500  0.750  0.000
Ac  0.844  0.922  0.688
Bi  0.671  0.086  0.343
Bi  0.671  0.586  0.343
Bi  0.329  0.414  0.657
Bi  0.329  0.914  0.657
Ge  0.000  0.750  0.000
Ge  0.000  0.250  0.000

Record 4
## Ac3GeBi (PBE)

Data for a geometry-optimized Ac3GeBi structure.

Output
For the total moment, the calculation gives 0.0000 μB per atom. The value obtained for the excess energy over the best structure of this formula in the dataset is 364 meV per atom. For the total energy, the calculation gives -4.512 eV per atom. The formation energy from the elements comes out at -0.347 eV/atom. As for the density of states at the Fermi level: 4.922 states/eV/cell.

Cell: 5.976 5.976 5.976 Å, 90.00 90.00 90.00°
Sites, in units of the cell vectors:
Ac  0.500  0.000  0.000
Ac  0.000  0.500  0.000
Ac  0.000  0.000  0.500
Ge  0.000  0.000  0.000
Bi  0.500  0.500  0.500

Q: Look up the total energy of the third one.
A: -4.946 eV per atom